Below is a relaxed LiPa2BrO5 crystal, with properties calculated at the GGA-PBE level.

Cell and atoms, written as POSCAR:
```
LiPa2BrO5
1.0
6.5947 0.0000 0.0000
0.0000 6.5947 0.0000
0.0000 0.0000 6.8430
Li Pa Br O
2 4 2 10
Direct
0.0000 0.5000 0.0000
0.5000 0.0000 0.0000
0.1792 0.3208 0.5000
0.3208 0.8208 0.5000
0.6792 0.1792 0.5000
0.8208 0.6792 0.5000
0.0000 0.0000 0.0000
0.5000 0.5000 0.0000
0.0000 0.0000 0.5000
0.1352 0.6352 0.3200
0.1352 0.6352 0.6800
0.3648 0.1352 0.3200
0.3648 0.1352 0.6800
0.5000 0.5000 0.5000
0.6352 0.8648 0.3200
0.6352 0.8648 0.6800
0.8648 0.3648 0.3200
0.8648 0.3648 0.6800
```

Values from the calculation:
The space-group type is No. 127.



Below is a relaxed LiPaBrO5 crystal, with properties calculated at the GGA-PBE level.

Cell and atoms, written as POSCAR:
```
LiPaBrO5
1.0
3.1040 -6.1396 0.0000
3.1040 6.1396 0.0000
-2.4990 0.0000 7.7810
Li Pa Br O
2 2 2 10
Direct
0.0682 0.9318 0.7500
0.9318 0.0682 0.2500
0.5000 0.5000 0.0000
0.5000 0.5000 0.5000
0.2517 0.7483 0.2500
0.7483 0.2517 0.7500
0.1460 0.2096 0.9334
0.1696 0.4932 0.3326
0.2096 0.1460 0.4334
0.4382 0.5618 0.7500
0.4932 0.1696 0.8326
0.5068 0.8304 0.1674
0.5618 0.4382 0.2500
0.7904 0.8540 0.5666
0.8304 0.5068 0.6674
0.8540 0.7904 0.0666
```

Values from the calculation:
The space-group type is No. 15.



Below is a relaxed Li2Pa2Br2O5 crystal, with properties calculated at the GGA-PBE level.

Cell and atoms, written as POSCAR:
```
Li2Pa2Br2O5
1.0
-2.1219 2.1219 13.1166
2.1219 -2.1219 13.1166
2.1219 2.1219 -13.1166
Li Pa Br O
2 2 2 5
Direct
0.1471 0.1471 0.0000
0.8529 0.8529 0.0000
0.4188 0.4188 0.0000
0.5812 0.5812 0.0000
0.3083 0.3083 0.0000
0.6917 0.6917 0.0000
0.0944 0.5944 0.5000
0.4056 0.9056 0.5000
0.5000 0.5000 0.0000
0.5944 0.0944 0.5000
0.9056 0.4056 0.5000
```

Values from the calculation:
The space-group type is No. 139.



Below is a relaxed LiPbBr2O crystal, with properties calculated at the GGA-PBE level.

Cell and atoms, written as POSCAR:
```
LiPbBr2O
1.0
5.9293 0.0000 0.0000
0.0000 5.9293 0.0000
0.0000 0.0000 4.2259
Li Pb Br O
1 1 2 1
Direct
0.0000 0.0000 0.0000
0.5000 0.5000 0.5000
0.0000 0.5000 0.5000
0.5000 0.0000 0.5000
0.5000 0.5000 0.0000
```

Values from the calculation:
The space-group type is No. 123.



Below is a relaxed Li2Pb3Br2O4 crystal, with properties calculated at the GGA-PBE level.

Cell and atoms, written as POSCAR:
```
Li2Pb3Br2O4
1.0
-1.9835 1.9835 12.7301
1.9835 -1.9835 12.7301
1.9835 1.9835 -12.7301
Li Pb Br O
2 3 2 4
Direct
0.0624 0.0624 0.0000
0.9376 0.9376 0.0000
0.3744 0.3744 0.0000
0.5000 0.5000 0.0000
0.6256 0.6256 0.0000
0.1834 0.1834 0.0000
0.8166 0.8166 0.0000
0.0559 0.5559 0.5000
0.4441 0.9441 0.5000
0.5559 0.0559 0.5000
0.9441 0.4441 0.5000
```

Values from the calculation:
The space-group type is No. 139.



Below is a relaxed LiPbBrO5 crystal, with properties calculated at the GGA-PBE level.

Cell and atoms, written as POSCAR:
```
LiPbBrO5
1.0
3.6452 -4.8584 0.0000
3.6452 4.8584 0.0000
-2.7448 0.0000 6.7165
Li Pb Br O
2 2 2 10
Direct
0.0138 0.9862 0.7500
0.9862 0.0138 0.2500
0.0000 0.5000 0.0000
0.5000 0.0000 0.5000
0.4817 0.5183 0.7500
0.5183 0.4817 0.2500
0.1629 0.2522 0.1117
0.1862 0.8138 0.2500
0.2522 0.1629 0.6117
0.3636 0.6341 0.5738
0.3659 0.6364 0.9262
0.6341 0.3636 0.0738
0.6364 0.3659 0.4262
0.7478 0.8371 0.3883
0.8138 0.1862 0.7500
0.8371 0.7478 0.8883
```

Values from the calculation:
The space-group type is No. 15.



Below is a relaxed LiPr2Br2O4 crystal, with properties calculated at the GGA-PBE level.

Cell and atoms, written as POSCAR:
```
LiPr2Br2O4
1.0
6.2231 0.0000 0.0000
0.0000 4.2581 0.0000
-2.9250 0.0000 6.5298
Li Pr Br O
1 2 2 4
Direct
0.0000 0.0000 0.0000
0.1550 0.5000 0.4627
0.5740 0.0000 0.2114
0.1580 0.5000 0.8972
0.5746 0.0000 0.7717
0.2358 0.0000 0.2783
0.7080 0.5000 0.3802
0.7531 0.5000 0.1886
0.9910 0.0000 0.4410
```

Values from the calculation:
The space-group type is No. 6.



Below is a relaxed LiPr2Br2O4 crystal, with properties calculated at the GGA-PBE level.

Cell and atoms, written as POSCAR:
```
LiPr2Br2O4
1.0
4.3339 0.0000 0.0000
2.0406 6.1170 0.0000
2.1564 2.5953 6.9855
Li Pr Br O
1 2 2 4
Direct
0.0000 0.0000 0.0000
0.2572 0.4032 0.0890
0.8330 0.8876 0.4290
0.4131 0.4927 0.6513
0.6375 0.8553 0.8655
0.0416 0.6988 0.2137
0.2429 0.0956 0.4127
0.3721 0.9705 0.2751
0.8184 0.2379 0.1225
```

Values from the calculation:
The space-group type is No. 1.



Below is a relaxed LiPr2Br2O2 crystal, with properties calculated at the GGA-PBE level.

Cell and atoms, written as POSCAR:
```
LiPr2Br2O2
1.0
4.0702 0.0000 0.0000
-2.0351 3.5249 0.0000
0.0000 0.0000 12.3197
Li Pr Br O
1 2 2 2
Direct
0.0000 0.0000 0.0000
0.3333 0.6667 0.6169
0.6667 0.3333 0.3831
0.0000 0.0000 0.2111
0.0000 0.0000 0.7889
0.3333 0.6667 0.4232
0.6667 0.3333 0.5768
```

Values from the calculation:
The space-group type is No. 164.



Below is a relaxed LiPr2Br2O4 crystal, with properties calculated at the GGA-PBE level.

Cell and atoms, written as POSCAR:
```
LiPr2Br2O4
1.0
4.3524 0.0000 0.0000
-1.0946 6.4274 0.0000
-0.3763 -2.8403 6.7178
Li Pr Br O
1 2 2 4
Direct
0.0000 0.0000 0.0000
0.3353 0.3045 0.4660
0.8898 0.5769 0.1649
0.4243 0.7175 0.8789
0.8202 0.1770 0.7511
0.0591 0.9621 0.2465
0.3413 0.3939 0.1530
0.4138 0.6096 0.3307
0.8514 0.3744 0.3823
```

Values from the calculation:
The space-group type is No. 1.



Below is a relaxed LiPuBrO2 crystal, with properties calculated at the GGA-PBE level.

Cell and atoms, written as POSCAR:
```
LiPuBrO2
1.0
7.1126 0.0000 0.0000
0.0000 4.0939 0.0000
-3.3458 0.0000 6.6917
Li Pu Br O
2 2 2 4
Direct
0.0960 0.2500 0.4341
0.9040 0.7500 0.5659
0.1572 0.2500 0.9249
0.8428 0.7500 0.0751
0.4905 0.2500 0.7734
0.5095 0.7500 0.2266
0.0181 0.7500 0.3673
0.0249 0.7500 0.8960
0.9751 0.2500 0.1040
0.9819 0.2500 0.6327
```

Values from the calculation:
The space-group type is No. 11.



Below is a relaxed LiPuBrO4 crystal, with properties calculated at the GGA-PBE level.

Cell and atoms, written as POSCAR:
```
LiPuBrO4
1.0
5.3209 -3.4887 0.0000
5.3209 3.4887 0.0000
-3.3130 0.0000 7.2365
Li Pu Br O
2 2 2 8
Direct
0.0872 0.0872 0.2722
0.9128 0.9128 0.7278
0.2988 0.2988 0.7991
0.7012 0.7012 0.2009
0.4363 0.4363 0.2045
0.5637 0.5637 0.7955
0.0631 0.5825 0.8139
0.1170 0.1170 0.7960
0.2042 0.2042 0.5345
0.4175 0.9369 0.1861
0.5825 0.0631 0.8139
0.7958 0.7958 0.4655
0.8830 0.8830 0.2040
0.9369 0.4175 0.1861
```

Values from the calculation:
The space-group type is No. 12.



Here are the calculated raw formation energy numbers, same order: -2.7345; -1.6485; -2.7244; -0.7367; -1.0871; -0.4211; -1.9993; -2.0310; -2.3229; -2.0210; -2.2414; -1.6612 (eV/atom).